DFT (SCAN) results for a PBEsol-optimized structure of SrZn2Co2.

```
SrZn2Co2
1.0
3.968 0.000 0.000
0.000 3.968 0.000
0.000 0.000 10.740
Sr Zn Co
2 4 4
direct
0.000 0.000 0.000 Sr
0.500 0.500 0.500 Sr
0.000 0.000 0.375 Zn
0.000 0.000 0.625 Zn
0.500 0.500 0.125 Zn
0.500 0.500 0.875 Zn
0.000 0.500 0.250 Co
0.000 0.500 0.750 Co
0.500 0.000 0.250 Co
0.500 0.000 0.750 Co
```

Results
Formation energy   0.134 eV/atom
Energy above the lowest structure with this stoichiometry   0 meV per atom
Magnetization   2.160 μB/f.u.